(1)
A plane-wave DFT calculation with PBE-GGA was carried out for crystalline TaTcMo2P at its relaxed geometry.

a b c (Å): 4.7844 4.7844 4.7309
angles (deg): 90.00 90.00 90.00
Closest atoms and distances in Å follow each position.
Space group P4/mmm (No. 123)
Asymmetric unit:
1 Ta 0.0000 0.0000 0.0000 [1 per cell]  2 Tc 2.37, 4 Mo 2.39
2 Tc 0.0000 0.0000 0.5000 [1 per cell]  2 Ta 2.37
3 Mo 0.0000 0.5000 0.0000 [2 per cell]  2 Ta 2.39
4 P 0.5000 0.5000 0.5000 [1 per cell]  8 Mo 3.36, 4 Tc 3.38

***

(2)
A plane-wave DFT calculation with PBE-GGA was carried out for crystalline Nd4S4Br3 at its relaxed geometry.

Results
* E_form (uncorrected): -1804 meV/atom

a b c (Å): 4.2022 8.2859 16.1655
angles (deg): 90.00 90.00 90.00
Closest atoms and distances in Å follow each position.
Space group Immm (No. 71)
Asymmetric unit:
1 Nd 0.0000 0.0000 0.2332 [4 per cell]  6 S 2.88-2.95
2 Nd 0.0000 0.2231 0.5000 [4 per cell]  2 S 2.79, 2 Br 3.11
3 S 0.0000 0.2992 0.3321 [8 per cell]  4 Nd 2.79-2.95
4 Br 0.0000 0.0000 0.0000 [2 per cell]  4 Nd 3.11
5 Br 0.0000 0.5000 0.0964 [4 per cell]  1 Br 3.12, 6 Nd 3.20-3.46, 4 S 3.45

***

no.,energy (eV per atom)
1,-7.79
2,-5.49